Record 1
# MgNb2V2

A relaxed MgNb2V2 crystal (PBE, the Alexandria database).

a = 7.383 Å, b = 7.383 Å, c = 3.229 Å
α = 90.00°, β = 90.00°, γ = 90.00°
Atoms (fractional coordinates):
1 Mg 0.000 0.000 0.000
2 Mg 0.500 0.500 0.000
3 Nb 0.143 0.357 0.000
4 Nb 0.357 0.857 0.000
5 Nb 0.643 0.143 0.000
6 Nb 0.857 0.643 0.000
7 V 0.146 0.646 0.500
8 V 0.354 0.146 0.500
9 V 0.646 0.854 0.500
10 V 0.854 0.354 0.500

## Properties
Its space group is No. 127. For the energy relative to the lowest polymorph listed for this composition, the calculation gives 14.4 kJ per mole of atoms.

Record 2
# Mg6NbV

A relaxed Mg6NbV crystal (PBE, the Alexandria database).

a = 4.984 Å, b = 6.266 Å, c = 6.266 Å
α = 56.34°, β = 90.00°, γ = 90.00°
Atoms (fractional coordinates):
1 Mg 0.000 0.000 0.000
2 Mg 0.000 0.009 0.515
3 Mg 0.000 0.495 0.495
4 Mg 0.000 0.515 0.009
5 Mg 0.500 0.351 0.852
6 Mg 0.500 0.852 0.351
7 Nb 0.500 0.851 0.851
8 V 0.500 0.349 0.349

## Properties
Its space group is No. 38. For the energy relative to the lowest polymorph listed for this composition, the calculation gives 6.1 kJ per mole of atoms.

Record 3
# Mg2NbV

A relaxed Mg2NbV crystal (PBE, the Alexandria database).

a = 4.712 Å, b = 4.712 Å, c = 4.712 Å
α = 60.00°, β = 60.00°, γ = 60.00°
Atoms (fractional coordinates):
1 Mg 0.250 0.250 0.250
2 Mg 0.750 0.750 0.750
3 Nb 0.000 0.000 0.000
4 V 0.500 0.500 0.500

## Properties
Its space group is No. 225. For the energy relative to the lowest polymorph listed for this composition, the calculation gives 0.0 kJ per mole of atoms.

Record 4
# MgNbV2

A relaxed MgNbV2 crystal (PBE, the Alexandria database).

a = 9.873 Å, b = 9.873 Å, c = 9.873 Å
α = 157.89°, β = 157.89°, γ = 31.47°
Atoms (fractional coordinates):
1 Mg 0.000 0.000 0.000
2 Mg 0.750 0.250 0.500
3 Nb 0.250 0.750 0.500
4 Nb 0.500 0.500 0.000
5 V 0.142 0.625 0.017
6 V 0.375 0.392 0.517
7 V 0.608 0.125 0.983
8 V 0.875 0.858 0.483

## Properties
Its space group is No. 122.

Record 5
# MgNb2V2

A relaxed MgNb2V2 crystal (PBE, the Alexandria database).

a = 7.135 Å, b = 7.135 Å, c = 3.370 Å
α = 90.00°, β = 90.00°, γ = 90.00°
Atoms (fractional coordinates):
1 Mg 0.000 0.000 0.000
2 Mg 0.500 0.500 0.000
3 Nb 0.175 0.325 0.500
4 Nb 0.325 0.825 0.500
5 Nb 0.675 0.175 0.500
6 Nb 0.825 0.675 0.500
7 V 0.120 0.620 0.000
8 V 0.380 0.120 0.000
9 V 0.620 0.880 0.000
10 V 0.880 0.380 0.000

## Properties
Its space group is No. 127. For the energy relative to the lowest polymorph listed for this composition, the calculation gives 0.0 kJ per mole of atoms.

Record 6
# Mg2NbV

A relaxed Mg2NbV crystal (PBE, the Alexandria database).

a = 5.982 Å, b = 5.982 Å, c = 5.982 Å
α = 101.40°, β = 101.40°, γ = 127.20°
Atoms (fractional coordinates):
1 Mg 0.110 0.625 0.985
2 Mg 0.375 0.360 0.485
3 Mg 0.640 0.125 0.015
4 Mg 0.875 0.890 0.515
5 Nb 0.250 0.750 0.500
6 Nb 0.500 0.500 0.000
7 V 0.000 0.000 0.000
8 V 0.750 0.250 0.500

## Properties
Its space group is No. 122. For the energy relative to the lowest polymorph listed for this composition, the calculation gives 22.8 kJ per mole of atoms.

Record 7
# Mg14NbV

A relaxed Mg14NbV crystal (PBE, the Alexandria database).

a = 6.305 Å, b = 6.305 Å, c = 10.045 Å
α = 90.00°, β = 90.00°, γ = 120.00°
Atoms (fractional coordinates):
1 Mg 0.000 0.000 0.247
2 Mg 0.000 0.000 0.753
3 Mg 0.013 0.507 0.248
4 Mg 0.013 0.507 0.752
5 Mg 0.336 0.168 0.500
6 Mg 0.338 0.169 0.000
7 Mg 0.493 0.507 0.248
8 Mg 0.493 0.507 0.752
9 Mg 0.493 0.987 0.248
10 Mg 0.493 0.987 0.752
11 Mg 0.831 0.169 0.000
12 Mg 0.831 0.662 0.000
13 Mg 0.832 0.168 0.500
14 Mg 0.832 0.664 0.500
15 Nb 0.333 0.667 0.000
16 V 0.333 0.667 0.500

## Properties
Its space group is No. 187.

Record 8
# Mg6NbV

A relaxed Mg6NbV crystal (PBE, the Alexandria database).

a = 4.827 Å, b = 6.315 Å, c = 6.315 Å
α = 57.35°, β = 90.00°, γ = 90.00°
Atoms (fractional coordinates):
1 Mg 0.000 0.000 0.000
2 Mg 0.000 0.012 0.491
3 Mg 0.000 0.491 0.012
4 Mg 0.500 0.356 0.840
5 Mg 0.500 0.840 0.356
6 Mg 0.500 0.843 0.843
7 Nb 0.500 0.364 0.364
8 V 0.000 0.481 0.481

## Properties
Its space group is No. 38. For the energy relative to the lowest polymorph listed for this composition, the calculation gives 0.0 kJ per mole of atoms.

Record 9
# MgNbV

A relaxed MgNbV crystal (PBE, the Alexandria database).

a = 3.400 Å, b = 3.400 Å, c = 10.187 Å
α = 90.00°, β = 90.00°, γ = 90.00°
Atoms (fractional coordinates):
1 Mg 0.250 0.250 0.101
2 Mg 0.750 0.750 0.899
3 Nb 0.250 0.250 0.705
4 Nb 0.750 0.750 0.295
5 V 0.250 0.750 0.500
6 V 0.750 0.250 0.500

## Properties
Its space group is No. 129.

Record 10
# MgNb2W2

A relaxed MgNb2W2 crystal (PBE, the Alexandria database).

a = 6.348 Å, b = 6.348 Å, c = 6.348 Å
α = 140.26°, β = 140.26°, γ = 57.46°
Atoms (fractional coordinates):
1 Mg 0.000 0.000 0.000
2 Nb 0.250 0.750 0.500
3 Nb 0.750 0.250 0.500
4 W 0.388 0.388 0.000
5 W 0.612 0.612 0.000

## Properties
Its space group is No. 139. For the energy relative to the lowest polymorph listed for this composition, the calculation gives 38.4 kJ per mole of atoms.

Record 11
# Mg2NbW

A relaxed Mg2NbW crystal (PBE, the Alexandria database).

a = 4.651 Å, b = 4.651 Å, c = 4.651 Å
α = 60.00°, β = 60.00°, γ = 60.00°
Atoms (fractional coordinates):
1 Mg 0.250 0.250 0.250
2 Mg 0.750 0.750 0.750
3 Nb 0.000 0.000 0.000
4 W 0.500 0.500 0.500

## Properties
Its space group is No. 225. For the energy relative to the lowest polymorph listed for this composition, the calculation gives 0.0 kJ per mole of atoms.

Record 12
# MgNb2W

A relaxed MgNb2W crystal (PBE, the Alexandria database).

a = 5.964 Å, b = 5.964 Å, c = 5.964 Å
α = 102.91°, β = 102.91°, γ = 123.59°
Atoms (fractional coordinates):
1 Mg 0.000 0.000 0.000
2 Mg 0.750 0.250 0.500
3 Nb 0.150 0.625 0.025
4 Nb 0.375 0.400 0.525
5 Nb 0.600 0.125 0.975
6 Nb 0.875 0.850 0.475
7 W 0.250 0.750 0.500
8 W 0.500 0.500 0.000

## Properties
Its space group is No. 122.

| no. | DFT total energy (eV per atom) | E_form (eV per atom) |
| --- | --- | --- |
| 1 | -7.6033 | 0.3909 |
| 2 | -3.3195 | 0.2750 |
| 3 | -5.0364 | 0.5580 |
| 4 | -6.7054 | 0.7700 |
| 5 | -7.7526 | 0.2416 |
| 6 | -4.7998 | 0.7946 |
| 7 | -2.4514 | 0.1432 |
| 8 | -3.3825 | 0.2120 |
| 9 | -6.3792 | 0.5484 |
| 10 | -8.6805 | 0.8476 |
| 11 | -5.7662 | 0.7869 |
| 12 | -7.8649 | 0.8069 |